# 1
The following is a PBE calculation of an optimized crystal structure of PrSc2CrN4, from the Alexandria database.

```
PrSc2CrN4
1.0
3.277 0.000 0.000
-1.638 5.626 0.000
0.000 0.000 11.012
Pr Sc Cr N
2 4 2 8
direct
0.090 0.180 0.750
0.910 0.820 0.250
0.371 0.741 0.542
0.629 0.259 0.042
0.629 0.259 0.458
0.371 0.741 0.958
0.829 0.658 0.750
0.171 0.342 0.250
0.262 0.524 0.117
0.738 0.476 0.617
0.738 0.476 0.883
0.262 0.524 0.383
0.000 0.000 0.500
0.000 0.000 0.000
0.419 0.839 0.750
0.581 0.161 0.250
```

Summary:
theoretical density	5.5	g/cm³
formation energy (no corrections)	-1.34	eV per atom
calculated volume	203	Å³ per cell
total magnetization	0.095	μB per atom



# 2
The following is a PBE calculation of an optimized crystal structure of Zr2NbHgMo, from the Alexandria database.

```
Zr2NbHgMo
1.0
5.101 0.000 0.000
0.000 4.729 0.000
0.000 0.000 5.101
Zr Mo Hg Nb
2 1 1 1
direct
0.000 0.000 0.500
0.500 0.000 0.000
0.000 0.000 0.000
0.500 0.500 0.500
0.000 0.500 0.000
```

Summary:
theoretical density	7.7	g/cm³
calculated volume	123	Å³ per cell
E_form	796	meV per atom
total magnetization	0.000	μB per atom



# 3
The following is a PBE calculation of an optimized crystal structure of TeP2Au, from the Alexandria database.

```
TeP2Au
1.0
-2.051 2.088 -0.744
-0.588 -2.497 -1.593
-5.679 -3.099 6.956
Au P Te
1 2 1
direct
0.500 0.500 0.750
0.000 0.000 0.947
0.000 0.000 0.553
0.500 0.500 0.250
```

Summary:
theoretical density	7.8	g/cm³
formation energy (no corrections)	0.61	eV per atom
calculated volume	82	Å³ per cell
total magnetization	0.000	μB per atom



# 4
The following is a PBE calculation of an optimized crystal structure of Hf2NbSb, from the Alexandria database.

```
Hf2NbSb
1.0
-2.207 6.042 4.556
-2.236 -5.055 5.620
0.449 0.597 6.244
Sb Nb Hf
2 2 4
direct
0.000 0.000 0.000
0.750 0.250 0.500
0.500 0.500 0.000
0.250 0.750 0.500
0.622 0.125 0.250
0.128 0.625 0.250
0.375 0.378 0.750
0.875 0.872 0.750
```

Summary:
theoretical density	10.5	g/cm³
formation energy (no corrections)	0.38	eV per atom
calculated volume	181	Å³ per cell
total magnetization	0.000	μB per atom



# 5
The following is a PBE calculation of an optimized crystal structure of NbSb2OsW, from the Alexandria database.

```
NbSb2OsW
1.0
-2.942 3.661 -2.046
1.165 -1.687 -4.695
-3.781 -2.966 0.128
Sb Nb Os W
2 1 1 1
direct
0.000 0.500 0.000
0.500 0.000 0.000
0.500 0.500 0.500
0.000 0.000 0.500
0.000 0.000 0.000
```

Summary:
theoretical density	9.4	g/cm³
formation energy (no corrections)	1.61	eV per atom
calculated volume	126	Å³ per cell
total magnetization	0.475	μB per atom



# 6
The following is a PBE calculation of an optimized crystal structure of LaBeCuPd2, from the Alexandria database.

```
LaBeCuPd2
1.0
-2.811 -0.608 3.488
3.264 -2.169 2.253
1.312 3.752 1.711
Be Cu Pd La
1 1 2 1
direct
0.000 0.000 0.000
0.000 0.000 0.500
0.000 0.500 0.000
0.500 0.000 0.000
0.500 0.500 0.500
```

Summary:
theoretical density	8.0	g/cm³
calculated volume	88	Å³ per cell
E_form	-426	meV per atom
total magnetization	0.000	μB per atom